First-principles (PBE-GGA) data for a relaxed SiSn3S crystal, as listed in the Alexandria database.

Properties
ΔE to the lowest computed polymorph: 0.000 eV per atom
size of the total moment: 0.0 μB/cell
mass density: 4.7 g cm⁻³
calculated volume: 148.3 Å³/cell

Unit cell a=5.293 b=5.293 c=5.293 alpha=90.00 beta=90.00 gamma=90.00
Space group Pm-3m (No. 221)
Symmetry-distinct sites (fractional):
Si 0.000 0.000 0.000 [1 per cell]
Sn 0.000 0.500 0.500 [3 per cell]
S 0.500 0.500 0.500 [1 per cell]